Density functional theory data (PBE) for a relaxed AcLa2TbSm5 crystal.

Cell: 11.585 11.585 10.472 Å, 90.00 90.00 152.21°
Element x y z (fractional)
Ac1 0.099 0.901 0.500
Ac2 0.901 0.099 0.000
La1 0.382 0.618 0.264
La2 0.382 0.618 0.735
La3 0.618 0.382 0.235
La4 0.618 0.382 0.764
Tb1 0.278 0.722 0.999
Tb2 0.722 0.278 0.499
Sm1 0.000 0.000 0.250
Sm2 0.000 0.000 0.750
Sm3 0.118 0.882 0.000
Sm4 0.221 0.779 0.305
Sm5 0.221 0.779 0.694
Sm6 0.497 0.503 0.500
Sm7 0.503 0.497 0.000
Sm8 0.779 0.221 0.194
Sm9 0.779 0.221 0.805
Sm10 0.882 0.118 0.500

Computed properties:
E_tot: -0.3336 Ry/atom
Symmetry: Cmc2_1 (36)
Fermi-level density of states: 15.177 states/eV/f.u.
Energy of formation: 14.3 kJ/mol of atoms

=====

Density functional theory data (PBE) for a relaxed CePm2Ru crystal.

Cell: 4.815 4.815 14.850 Å, 90.00 90.00 120.00°
Element x y z (fractional)
Ce1 0.000 0.000 0.000
Ce2 0.333 0.667 0.667
Ce3 0.667 0.333 0.333
Pm1 0.000 0.000 0.239
Pm2 0.000 0.000 0.761
Pm3 0.333 0.667 0.428
Pm4 0.333 0.667 0.906
Pm5 0.667 0.333 0.094
Pm6 0.667 0.333 0.572
Ru1 0.000 0.000 0.500
Ru2 0.333 0.667 0.167
Ru3 0.667 0.333 0.833

Computed properties:
E_tot: -0.4448 Ry/atom
Energy above the lowest structure with this stoichiometry: 387 meV per atom
Symmetry: R-3m (166)
Fermi-level density of states: 6.895 states/eV/f.u.
Energy of formation: 12.1 kJ/mol of atoms

=====

Density functional theory data (PBE) for a relaxed BC3 crystal.

Cell: 5.692 5.692 3.593 Å, 90.00 90.00 140.38°
Element x y z (fractional)
B1 0.000 0.000 0.000
B2 0.164 0.836 0.500
B3 0.836 0.164 0.500
C1 0.000 0.500 0.760
C2 0.190 0.357 0.249
C3 0.332 0.668 0.000
C4 0.357 0.190 0.751
C5 0.500 0.000 0.240
C6 0.500 0.500 0.500
C7 0.643 0.810 0.751
C8 0.668 0.332 0.000
C9 0.810 0.643 0.249

Computed properties:
E_tot: -0.6063 Ry/atom
Energy above the lowest structure with this stoichiometry: 97 meV per atom
Symmetry: C222 (21)
Fermi-level density of states: 1.104 states/eV/f.u.
Energy of formation: 32.6 kJ/mol of atoms

=====

Density functional theory data (PBE) for a relaxed BaEr2Cd2In2 crystal.

Cell: 10.092 10.092 10.092 Å, 29.03 29.03 29.03°
Element x y z (fractional)
Ba1 0.000 0.000 0.000
Er1 0.136 0.136 0.136
Er2 0.864 0.864 0.864
Cd1 0.439 0.439 0.439
Cd2 0.561 0.561 0.561
In1 0.251 0.251 0.251
In2 0.749 0.749 0.749

Computed properties:
E_tot: -0.2155 Ry/atom
Symmetry: R-3m (166)
Fermi-level density of states: 2.575 states/eV/f.u.
Energy of formation: -29.8 kJ/mol of atoms

=====

Density functional theory data (PBE) for a relaxed TbHoRh crystal.

Cell: 6.796 6.796 6.796 Å, 90.00 90.00 90.00°
Element x y z (fractional)
Tb1 0.000 0.000 0.000
Tb2 0.000 0.500 0.500
Tb3 0.500 0.000 0.500
Tb4 0.500 0.500 0.000
Ho1 0.000 0.000 0.500
Ho2 0.000 0.500 0.000
Ho3 0.500 0.000 0.000
Ho4 0.500 0.500 0.500
Rh1 0.250 0.250 0.250
Rh2 0.250 0.750 0.750
Rh3 0.750 0.250 0.750
Rh4 0.750 0.750 0.250

Computed properties:
E_tot: -0.4489 Ry/atom
Energy above the lowest structure with this stoichiometry: 59 meV per atom
Symmetry: F-43m (216)
Fermi-level density of states: 2.927 states/eV/f.u.
Energy of formation: -56.7 kJ/mol of atoms

=====

Density functional theory data (PBE) for a relaxed PdPtO3 crystal.

Cell: 6.317 6.317 3.169 Å, 90.00 90.00 108.35°
Element x y z (fractional)
Pd1 0.000 0.000 0.000
Pd2 0.500 0.500 0.000
Pt1 0.000 0.500 0.500
Pt2 0.500 0.000 0.500
O1 0.144 0.856 0.500
O2 0.167 0.428 0.000
O3 0.428 0.167 0.000
O4 0.572 0.833 0.000
O5 0.833 0.572 0.000
O6 0.856 0.144 0.500

Computed properties:
E_tot: -0.4143 Ry/atom
Symmetry: Cmmm (65)
Fermi-level density of states: 2.023 states/eV/f.u.
Formation energy without anion corrections: -0.42 eV per atom

=====

Density functional theory data (PBE) for a relaxed ZrTaH3 crystal.

Cell: 5.959 5.075 6.350 Å, 90.00 100.29 90.00°
Element x y z (fractional)
Zr1 0.126 0.246 0.184
Zr2 0.126 0.254 0.684
Zr3 0.874 0.746 0.316
Zr4 0.874 0.754 0.816
Ta1 0.383 0.745 0.066
Ta2 0.383 0.755 0.566
Ta3 0.617 0.245 0.434
Ta4 0.617 0.255 0.934
H1 0.082 0.651 0.602
H2 0.082 0.849 0.102
H3 0.312 0.107 0.465
H4 0.312 0.393 0.965
H5 0.380 0.517 0.319
H6 0.380 0.983 0.819
H7 0.620 0.017 0.181
H8 0.620 0.483 0.681
H9 0.688 0.607 0.035
H10 0.688 0.893 0.535
H11 0.918 0.151 0.898
H12 0.918 0.349 0.398

Computed properties:
E_tot: -0.4689 Ry/atom
Energy above the lowest structure with this stoichiometry: 0 meV per atom
Symmetry: P2_1/c (14)
Fermi-level density of states: 1.155 states/eV/f.u.

=====

Density functional theory data (PBE) for a relaxed Mn3Tl2Cl9 crystal.

Cell: 9.164 9.164 14.265 Å, 90.00 90.00 120.00°
Element x y z (fractional)
Mn1 0.007 0.742 0.250
Mn2 0.258 0.266 0.250
Mn3 0.266 0.007 0.750
Mn4 0.734 0.993 0.250
Mn5 0.742 0.734 0.750
Mn6 0.993 0.258 0.750
Tl1 0.333 0.667 0.505
Tl2 0.333 0.667 0.995
Tl3 0.667 0.333 0.005
Tl4 0.667 0.333 0.495
Cl1 0.007 0.752 0.750
Cl2 0.008 0.629 0.109
Cl3 0.008 0.629 0.391
Cl4 0.248 0.256 0.750
Cl5 0.256 0.007 0.250
Cl6 0.371 0.380 0.109
Cl7 0.371 0.380 0.391
Cl8 0.380 0.008 0.609
Cl9 0.380 0.008 0.891
Cl10 0.620 0.992 0.109
Cl11 0.620 0.992 0.391
Cl12 0.629 0.620 0.609
Cl13 0.629 0.620 0.891
Cl14 0.744 0.993 0.750
Cl15 0.752 0.744 0.250
Cl16 0.992 0.371 0.609
Cl17 0.992 0.371 0.891
Cl18 0.993 0.248 0.250

Computed properties:
E_tot: -0.3306 Ry/atom
Symmetry: P6_3/m (176)
Fermi-level density of states: 6.006 states/eV/f.u.
Formation energy without anion corrections: -1.01 eV per atom

=====

Density functional theory data (PBE) for a relaxed K2CuPd3F12 crystal.

Cell: 7.599 7.599 7.599 Å, 60.03 60.03 60.03°
Element x y z (fractional)
K1 0.169 0.169 0.169
K2 0.831 0.831 0.831
Cu1 0.500 0.500 0.500
Pd1 0.000 0.500 0.500
Pd2 0.500 0.000 0.500
Pd3 0.500 0.500 0.000
F1 0.169 0.169 0.560
F2 0.169 0.560 0.169
F3 0.188 0.568 0.568
F4 0.432 0.432 0.812
F5 0.432 0.812 0.432
F6 0.440 0.831 0.831
F7 0.560 0.169 0.169
F8 0.568 0.188 0.568
F9 0.568 0.568 0.188
F10 0.812 0.432 0.432
F11 0.831 0.440 0.831
F12 0.831 0.831 0.440

Computed properties:
E_tot: -0.3030 Ry/atom
Symmetry: R-3m (166)
Fermi-level density of states: 3.836 states/eV/f.u.
Formation energy without anion corrections: -1.66 eV per atom

=====

Density functional theory data (PBE) for a relaxed ScMn2Te crystal.

Cell: 4.056 4.056 8.767 Å, 90.00 90.00 90.00°
Element x y z (fractional)
Sc1 0.000 0.000 0.000
Sc2 0.500 0.500 0.500
Mn1 0.000 0.500 0.250
Mn2 0.000 0.500 0.750
Mn3 0.500 0.000 0.250
Mn4 0.500 0.000 0.750
Te1 0.000 0.000 0.500
Te2 0.500 0.500 0.000

Computed properties:
E_tot: -0.5135 Ry/atom
Symmetry: I4/mmm (139)
Fermi-level density of states: 2.816 states/eV/f.u.
Formation energy without anion corrections: -0.03 eV per atom

=====

Density functional theory data (PBE) for a relaxed TbY2Mg crystal.

Cell: 3.620 3.620 9.160 Å, 90.00 90.00 90.00°
Element x y z (fractional)
Tb1 0.000 0.000 0.000
Y1 0.500 0.500 0.268
Y2 0.500 0.500 0.732
Mg1 0.000 0.000 0.500

Computed properties:
E_tot: -0.3546 Ry/atom
Energy above the lowest structure with this stoichiometry: 0 meV per atom
Symmetry: P4/mmm (123)
Fermi-level density of states: 5.456 states/eV/f.u.
Energy of formation: -3.5 kJ/mol of atoms

=====

Density functional theory data (PBE) for a relaxed LuScAlPb crystal.

Cell: 7.231 7.231 7.231 Å, 90.00 90.00 90.00°
Element x y z (fractional)
Lu1 0.000 0.000 0.000
Lu2 0.000 0.500 0.500
Lu3 0.500 0.000 0.500
Lu4 0.500 0.500 0.000
Sc1 0.000 0.000 0.500
Sc2 0.000 0.500 0.000
Sc3 0.500 0.000 0.000
Sc4 0.500 0.500 0.500
Al1 0.250 0.250 0.250
Al2 0.250 0.750 0.750
Al3 0.750 0.250 0.750
Al4 0.750 0.750 0.250
Pb1 0.250 0.250 0.750
Pb2 0.250 0.750 0.250
Pb3 0.750 0.250 0.250
Pb4 0.750 0.750 0.750

Computed properties:
E_tot: -0.3550 Ry/atom
Symmetry: F-43m (216)
Fermi-level density of states: 3.059 states/eV/f.u.
Energy of formation: -24.5 kJ/mol of atoms

=====

Density functional theory data (PBE) for a relaxed La3Cd9Hg2 crystal.

Cell: 9.111 9.111 9.111 Å, 147.97 114.01 75.24°
Element x y z (fractional)
La1 0.000 0.000 0.000
La2 0.298 0.298 0.000
La3 0.702 0.702 0.000
Cd1 0.018 0.658 0.361
Cd2 0.138 0.857 0.281
Cd3 0.297 0.658 0.639
Cd4 0.424 0.143 0.281
Cd5 0.500 0.000 0.500
Cd6 0.576 0.857 0.719
Cd7 0.703 0.342 0.361
Cd8 0.862 0.143 0.719
Cd9 0.982 0.342 0.639
Hg1 0.323 0.500 0.823
Hg2 0.677 0.500 0.177

Computed properties:
E_tot: -0.1458 Ry/atom
Symmetry: Immm (71)
Fermi-level density of states: 9.772 states/eV/f.u.
Energy of formation: -28.6 kJ/mol of atoms

=====

Density functional theory data (PBE) for a relaxed Cs4Rb5Hg2 crystal.

Cell: 12.247 5.142 14.080 Å, 90.00 96.85 90.00°
Element x y z (fractional)
Cs1 0.173 0.000 0.310
Cs2 0.190 0.000 0.946
Cs3 0.810 0.000 0.054
Cs4 0.827 0.000 0.690
Rb1 0.159 0.500 0.637
Rb2 0.473 0.500 0.166
Rb3 0.500 0.500 0.500
Rb4 0.527 0.500 0.834
Rb5 0.841 0.500 0.363
Hg1 0.051 0.500 0.109
Hg2 0.949 0.500 0.891

Computed properties:
E_tot: -0.0649 Ry/atom
Symmetry: P2/m (10)
Fermi-level density of states: 9.405 states/eV/f.u.
Energy of formation: -7.6 kJ/mol of atoms

=====

Density functional theory data (PBE) for a relaxed LiTiHg2H crystal.

Cell: 4.704 4.704 4.781 Å, 90.00 90.00 90.00°
Element x y z (fractional)
Li1 0.000 0.000 0.000
Ti1 0.000 0.000 0.500
Hg1 0.000 0.500 0.000
Hg2 0.500 0.000 0.000
H1 0.500 0.500 0.500

Computed properties:
E_tot: -0.1368 Ry/atom
Symmetry: P4/mmm (123)
Fermi-level density of states: 3.763 states/eV/f.u.

=====

Density functional theory data (PBE) for a relaxed Ba2YTc crystal.

Cell: 3.752 3.752 10.383 Å, 90.00 90.00 90.00°
Element x y z (fractional)
Ba1 0.000 0.000 0.000
Ba2 0.500 0.500 0.376
Y1 0.500 0.500 0.709
Tc1 0.000 0.000 0.588

Computed properties:
E_tot: -0.3506 Ry/atom
Energy above the lowest structure with this stoichiometry: 9 meV per atom
Symmetry: P4mm (99)
Fermi-level density of states: 5.614 states/eV/f.u.
Energy of formation: 38.5 kJ/mol of atoms

=====

Density functional theory data (PBE) for a relaxed AlTlPb2 crystal.

Cell: 6.681 9.730 3.490 Å, 90.00 90.00 90.00°
Element x y z (fractional)
Al1 0.000 0.000 0.000
Al2 0.500 0.500 0.000
Tl1 0.000 0.500 0.000
Tl2 0.500 0.000 0.000
Pb1 0.250 0.250 0.500
Pb2 0.250 0.750 0.500
Pb3 0.750 0.250 0.500
Pb4 0.750 0.750 0.500

Computed properties:
E_tot: -0.2346 Ry/atom
Energy above the lowest structure with this stoichiometry: 77 meV per atom
Symmetry: Cmmm (65)
Fermi-level density of states: 1.377 states/eV/f.u.
Energy of formation: 18.3 kJ/mol of atoms

=====

Density functional theory data (PBE) for a relaxed V2AsC crystal.

Cell: 5.744 5.744 5.744 Å, 90.00 90.00 90.00°
Element x y z (fractional)
V1 0.250 0.250 0.250
V2 0.250 0.250 0.750
V3 0.250 0.750 0.250
V4 0.250 0.750 0.750
V5 0.750 0.250 0.250
V6 0.750 0.250 0.750
V7 0.750 0.750 0.250
V8 0.750 0.750 0.750
As1 0.000 0.000 0.000
As2 0.000 0.500 0.500
As3 0.500 0.000 0.500
As4 0.500 0.500 0.000
C1 0.000 0.000 0.500
C2 0.000 0.500 0.000
C3 0.500 0.000 0.000
C4 0.500 0.500 0.500

Computed properties:
E_tot: -0.5552 Ry/atom
Energy above the lowest structure with this stoichiometry: 1010 meV per atom
Symmetry: Fm-3m (225)
Fermi-level density of states: 3.634 states/eV/f.u.
Energy of formation: 45.7 kJ/mol of atoms

=====

Density functional theory data (PBE) for a relaxed NiC2 crystal.

Cell: 5.010 4.050 3.730 Å, 90.00 90.61 90.00°
Element x y z (fractional)
Ni1 0.000 0.000 0.000
Ni2 0.500 0.500 0.000
C1 0.129 0.500 0.000
C2 0.371 0.000 0.000
C3 0.629 0.000 0.000
C4 0.871 0.500 0.000

Computed properties:
E_tot: -0.5090 Ry/atom
Energy above the lowest structure with this stoichiometry: 732 meV per atom
Symmetry: C2/m (12)
Fermi-level density of states: 1.356 states/eV/f.u.
Energy of formation: 111.1 kJ/mol of atoms

=====

Density functional theory data (PBE) for a relaxed Ba4ZnPt crystal.

Cell: 7.963 7.970 9.562 Å, 68.54 65.47 89.88°
Element x y z (fractional)
Ba1 0.128 0.113 0.239
Ba2 0.132 0.613 0.239
Ba3 0.370 0.889 0.761
Ba4 0.371 0.389 0.761
Ba5 0.629 0.611 0.239
Ba6 0.630 0.111 0.239
Ba7 0.868 0.387 0.761
Ba8 0.872 0.887 0.761
Zn1 0.250 0.250 0.500
Zn2 0.750 0.750 0.500
Pt1 0.000 0.500 0.000
Pt2 0.500 0.000 0.000

Computed properties:
E_tot: -0.2056 Ry/atom
Energy above the lowest structure with this stoichiometry: 0 meV per atom
Symmetry: P-1 (2)
Fermi-level density of states: 5.866 states/eV/f.u.
Energy of formation: -28.6 kJ/mol of atoms

=====

Density functional theory data (PBE) for a relaxed Y8Cd crystal.

Cell: 7.892 7.892 7.892 Å, 95.71 95.71 143.22°
Element x y z (fractional)
Y1 0.000 0.332 0.332
Y2 0.000 0.668 0.668
Y3 0.332 0.000 0.332
Y4 0.336 0.336 0.673
Y5 0.336 0.664 0.000
Y6 0.664 0.336 0.000
Y7 0.664 0.664 0.327
Y8 0.668 0.000 0.668
Cd1 0.000 0.000 0.000

Computed properties:
E_tot: -0.4306 Ry/atom
Symmetry: I4/mmm (139)
Fermi-level density of states: 16.079 states/eV/f.u.
Energy of formation: -1.0 kJ/mol of atoms

=====

Density functional theory data (PBE) for a relaxed Sr2Ga4Ir3Rh crystal.

Cell: 4.366 4.366 10.246 Å, 90.00 90.00 90.00°
Element x y z (fractional)
Sr1 0.000 0.500 0.241
Sr2 0.500 0.000 0.759
Ga1 0.000 0.000 0.500
Ga2 0.000 0.500 0.877
Ga3 0.500 0.000 0.123
Ga4 0.500 0.500 0.500
Ir1 0.000 0.000 0.000
Ir2 0.000 0.500 0.627
Ir3 0.500 0.000 0.373
Rh1 0.500 0.500 0.000

Computed properties:
E_tot: -0.4066 Ry/atom
Symmetry: P-4m2 (115)
Fermi-level density of states: 4.263 states/eV/f.u.
Energy of formation: -57.1 kJ/mol of atoms